Entry from the Alexandria database: a relaxed TlTeBr3 crystal (GGA-PBE).

Lattice parameters (Å, degrees): 6.5758 6.4492 11.7834 75.73 60.92 80.83
Closest atoms and distances in Å follow each position.
Sites, in units of the cell vectors:
1 Tl 0.9335 0.5626 0.0923  6 Br 3.32-3.62, 1 Te 3.57
2 Tl 0.1697 0.9628 0.3712  6 Br 3.31-3.62, 1 Te 3.57
3 Br 0.3217 0.5162 0.2289  2 Te 3.03-3.06
4 Br 0.4753 0.4625 0.8645  1 Te 2.60
5 Br 0.2066 0.5496 0.5934  1 Te 2.62
6 Br 0.6282 0.0640 0.5989  1 Te 2.60
7 Br 0.8969 0.9765 0.8702  1 Te 2.62
8 Br 0.7810 0.0097 0.2347  2 Te 3.03-3.06
9 Te 0.6249 0.2385 0.0275  2 Br 2.60-2.62
10 Te 0.4782 0.2875 0.4361  2 Br 2.60-2.62

Computed properties:
E_form (uncorrected)   -0.47 eV/atom
Symmetry   P-1
Mass density   4.491 g/cm3
Electronic total energy   -12.867 eV/f.u.